DFT (PBE) results for crystalline AcOsC at its relaxed geometry.

Calculated values
The value obtained for the size of the total moment is 0.00 μB per atom. The calculation puts the offset from the most stable computed form at 6.2 kJ per mole of atoms. The formation energy is 237.5 meV/atom.

abc: 3.532 3.532 5.182
angles: 90.00 90.00 120.00
Element x y z (fractional)
Ac (0.000, 0.000, 0.000)
Os (0.333, 0.667, 0.500)
C (0.667, 0.333, 0.500)



DFT (PBE) results for crystalline TiTcH2Br at its relaxed geometry.

Calculated values
The value obtained for the size of the total moment is 0.10 μB per atom. For the energy, the calculation gives -5.053 eV per atom.

abc: 3.678 3.678 4.938
angles: 90.00 90.00 90.00
Element x y z (fractional)
Ti (0.000, 0.000, 0.000)
Tc (0.000, 0.000, 0.500)
H (0.000, 0.500, 0.500)
H (0.500, 0.000, 0.500)
Br (0.500, 0.500, 0.000)



> Which of these has the lowest size of the total moment?

AcOsC



> Look up the size of the total moment of the first one.

0.00 μB per atom



Please write out number 1 again, unchanged.
DFT (PBE) results for crystalline AcOsC at its relaxed geometry.

Calculated values
The value obtained for the size of the total moment is 0.00 μB per atom. The calculation puts the offset from the most stable computed form at 6.2 kJ per mole of atoms. The formation energy is 237.5 meV/atom.

abc: 3.532 3.532 5.182
angles: 90.00 90.00 120.00
Element x y z (fractional)
Ac (0.000, 0.000, 0.000)
Os (0.333, 0.667, 0.500)
C (0.667, 0.333, 0.500)



> Which value of size of the total moment does entry 2 give?

0.10 μB per atom